(1)
{"formula": "Tb3Pm6Er", "functional": "PBE-GGA", "state": "relaxed", "lattice": [[6.4244, 0.0000, 0.0000], [0.0000, 10.2076, -5.7860], [0.0000, -2.2508, 11.5155]], "species": ["Tb", "Tb", "Tb", "Tb", "Tb", "Tb", "Er", "Er", "Pm", "Pm", "Pm", "Pm", "Pm", "Pm", "Pm", "Pm", "Pm", "Pm", "Pm", "Pm"], "frac_coords": [[0.5876, 0.5794, 0.4206], [0.9912, 0.0417, 0.2933], [0.9912, 0.7067, 0.9583], [0.0876, 0.4206, 0.5794], [0.4912, 0.2933, 0.0417], [0.4912, 0.9583, 0.7067], [0.0177, 0.1587, 0.8413], [0.5177, 0.8413, 0.1587], [0.8230, 0.8941, 0.4558], [0.2964, 0.6994, 0.3006], [0.8217, 0.0162, 0.9838], [0.8230, 0.5442, 0.1059], [0.3217, 0.9838, 0.0162], [0.5668, 0.2580, 0.3794], [0.3230, 0.4558, 0.8941], [0.3230, 0.1059, 0.5442], [0.0668, 0.3794, 0.2580], [0.0668, 0.7420, 0.6206], [0.7964, 0.3006, 0.6994], [0.5668, 0.6206, 0.7420]], "polymorph_energy_kcal_per_mol_atoms": 0.000, "formation_enthalpy_0k_mev_per_atom": 122.9, "total_energy_ev_per_cell": -91.5}

(2)
{"formula": "TbPm4Er3", "functional": "PBE-GGA", "state": "relaxed", "lattice": [[6.2942, 0.0000, 0.0000], [0.0000, 7.3012, 0.0000], [0.0000, 0.0000, 11.4774]], "species": ["Er", "Er", "Er", "Er", "Er", "Er", "Pm", "Pm", "Pm", "Pm", "Pm", "Pm", "Pm", "Pm", "Tb", "Tb"], "frac_coords": [[0.9810, 0.6215, 0.7502], [0.4810, 0.3785, 0.7498], [0.6476, 0.6207, 0.0000], [0.1476, 0.3793, 0.5000], [0.9810, 0.6215, 0.2498], [0.4810, 0.3785, 0.2502], [0.6442, 0.1278, 0.5000], [0.9816, 0.1272, 0.2520], [0.1495, 0.8714, 0.5000], [0.4816, 0.8728, 0.7520], [0.4816, 0.8728, 0.2480], [0.9816, 0.1272, 0.7480], [0.6495, 0.1286, 0.0000], [0.1442, 0.8722, 0.0000], [0.1488, 0.3771, 0.0000], [0.6488, 0.6229, 0.5000]], "polymorph_energy_kcal_per_mol_atoms": 0.000, "formation_enthalpy_0k_mev_per_atom": 24.1, "total_energy_ev_per_cell": -74.3}

(3)
{"formula": "Tb4Pm11Er9", "functional": "PBE-GGA", "state": "relaxed", "lattice": [[3.6643, 0.0000, 0.0000], [0.0000, 14.0527, -6.0050], [0.0000, 0.0006, 15.2820]], "species": ["Er", "Er", "Er", "Er", "Er", "Er", "Er", "Er", "Er", "Pm", "Pm", "Pm", "Pm", "Pm", "Pm", "Pm", "Pm", "Pm", "Pm", "Pm", "Tb", "Tb", "Tb", "Tb"], "frac_coords": [[0.5000, 0.3684, 0.8352], [0.5000, 0.6316, 0.1648], [0.5000, 0.1648, 0.6316], [0.5000, 0.0669, 0.2129], [0.5000, 0.2129, 0.0669], [0.5000, 0.9331, 0.7871], [0.5000, 0.5000, 0.5000], [0.5000, 0.8352, 0.3684], [0.5000, 0.7871, 0.9331], [0.0000, 0.8397, 0.1603], [0.0000, 0.0438, 0.4060], [0.0000, 0.1603, 0.8397], [0.0000, 0.5940, 0.9562], [0.0000, 0.2911, 0.2911], [0.0000, 0.3677, 0.6323], [0.0000, 0.9562, 0.5940], [0.0000, 0.0000, 0.0000], [0.0000, 0.4060, 0.0438], [0.0000, 0.7089, 0.7089], [0.0000, 0.6323, 0.3677], [0.5000, 0.5551, 0.7573], [0.5000, 0.7573, 0.5551], [0.5000, 0.4449, 0.2427], [0.5000, 0.2427, 0.4449]], "formation_enthalpy_0k_mev_per_atom": 56.2, "total_energy_ev_per_cell": -110.5}

(4)
{"formula": "Tb3PmEr6", "functional": "PBE-GGA", "state": "relaxed", "lattice": [[-1.3704, 3.8123, 4.6439], [-6.0637, -7.8008, 4.6146], [10.5878, 0.7661, 2.4955]], "species": ["Tb", "Tb", "Tb", "Tb", "Tb", "Tb", "Er", "Er", "Er", "Er", "Er", "Er", "Er", "Er", "Er", "Er", "Er", "Er", "Pm", "Pm"], "frac_coords": [[0.9583, 0.7182, 0.9360], [0.0692, 0.3910, 0.6090], [0.4583, 0.2818, 0.0640], [0.4583, 0.9360, 0.7182], [0.9583, 0.0640, 0.2818], [0.5692, 0.6090, 0.3910], [0.3654, 0.5408, 0.9625], [0.0305, 0.3826, 0.2879], [0.4150, 0.9531, 0.0469], [0.9150, 0.0469, 0.9531], [0.0305, 0.7121, 0.6174], [0.8654, 0.9625, 0.5408], [0.6403, 0.2846, 0.7154], [0.5305, 0.6174, 0.7121], [0.8654, 0.4592, 0.0375], [0.5305, 0.2879, 0.3826], [0.3654, 0.0375, 0.4592], [0.1403, 0.7154, 0.2846], [0.6524, 0.7927, 0.2073], [0.1524, 0.2073, 0.7927]], "polymorph_energy_kcal_per_mol_atoms": 0.000, "formation_enthalpy_0k_mev_per_atom": 147.9, "total_energy_ev_per_cell": -89.1}